1.
# In2ReHg

An optimized crystal structure of In2ReHg (PBE, the Alexandria database).

CIF file:
```
data_In2ReHg
_cell_length_a 3.7379
_cell_length_b 3.7379
_cell_length_c 5.8270
_cell_angle_alpha 90.00
_cell_angle_beta 90.00
_cell_angle_gamma 90.00
_symmetry_space_group_name_H-M 'P 1'
_symmetry_Int_Tables_number 1
loop_
_symmetry_equiv_pos_as_xyz
'x,y,z'
loop_
_atom_site_label
_atom_site_type_symbol
_atom_site_fract_x
_atom_site_fract_y
_atom_site_fract_z
Hg1 Hg 0.5000 0.5000 0.7532
In1 In 0.5000 0.5000 0.2786
Re1 Re 0.0000 0.0000 0.4811
In2 In 0.0000 0.0000 0.9871
```

* M_tot: 0.03 μB/cell
* calculated density: 12.573 g cm⁻³
* E: -3.93 eV/atom
* energy relative to the elements: 0.6296 eV/atom

***

2.
# Co3Ni2Rh3

An optimized crystal structure of Co3Ni2Rh3 (PBE, the Alexandria database).

CIF file:
```
data_Co3Ni2Rh3
_cell_length_a 4.6913
_cell_length_b 4.6913
_cell_length_c 4.6913
_cell_angle_alpha 86.72
_cell_angle_beta 86.72
_cell_angle_gamma 93.28
_symmetry_space_group_name_H-M 'P 1'
_symmetry_Int_Tables_number 1
loop_
_symmetry_equiv_pos_as_xyz
'x,y,z'
loop_
_atom_site_label
_atom_site_type_symbol
_atom_site_fract_x
_atom_site_fract_y
_atom_site_fract_z
Rh1 Rh 0.7679 0.5000 0.7679
Co1 Co 0.2946 0.7054 0.0000
Co2 Co 0.0000 0.2946 0.2946
Co3 Co 0.7054 0.0000 0.7054
Rh2 Rh 0.5000 0.2321 0.2321
Rh3 Rh 0.2321 0.7679 0.5000
Ni1 Ni 0.7654 0.7654 0.2346
Ni2 Ni 0.2346 0.2346 0.7654
```

* M_tot: 9.80 μB/cell
* calculated density: 9.746 g cm⁻³
* E: -6.71 eV/atom
* energy relative to the elements: 0.1567 eV/atom

***

3.
# AcPr10Tm4

An optimized crystal structure of AcPr10Tm4 (PBE, the Alexandria database).

CIF file:
```
data_AcPr10Tm4
_cell_length_a 7.0143
_cell_length_b 9.7068
_cell_length_c 9.7068
_cell_angle_alpha 82.50
_cell_angle_beta 68.82
_cell_angle_gamma 68.82
_symmetry_space_group_name_H-M 'P 1'
_symmetry_Int_Tables_number 1
loop_
_symmetry_equiv_pos_as_xyz
'x,y,z'
loop_
_atom_site_label
_atom_site_type_symbol
_atom_site_fract_x
_atom_site_fract_y
_atom_site_fract_z
Pr1 Pr 0.8824 0.5850 0.1599
Pr2 Pr 0.6273 0.4150 0.8401
Pr3 Pr 0.2500 0.5000 0.5000
Tm1 Tm 0.4319 0.8905 0.2457
Tm2 Tm 0.3224 0.2457 0.1095
Tm3 Tm 0.6776 0.7543 0.8905
Pr4 Pr 0.5327 0.8401 0.5850
Pr5 Pr 0.9577 0.1599 0.4150
Pr6 Pr 0.1176 0.4150 0.8401
Pr7 Pr 0.3727 0.5850 0.1599
Pr8 Pr 0.4673 0.1599 0.4150
Ac1 Ac 0.0000 0.0000 0.0000
Pr9 Pr 0.0423 0.8401 0.5850
Pr10 Pr 0.7500 0.5000 0.5000
Tm4 Tm 0.5681 0.1095 0.7543
```

* M_tot: 0.00 μB/cell
* calculated density: 6.681 g cm⁻³
* E: -4.18 eV/atom
* energy relative to the elements: 0.4701 eV/atom

***

4.
# Ho2HfTe

An optimized crystal structure of Ho2HfTe (PBE, the Alexandria database).

CIF file:
```
data_Ho2HfTe
_cell_length_a 3.7834
_cell_length_b 3.7834
_cell_length_c 7.4015
_cell_angle_alpha 90.00
_cell_angle_beta 90.00
_cell_angle_gamma 90.00
_symmetry_space_group_name_H-M 'P 1'
_symmetry_Int_Tables_number 1
loop_
_symmetry_equiv_pos_as_xyz
'x,y,z'
loop_
_atom_site_label
_atom_site_type_symbol
_atom_site_fract_x
_atom_site_fract_y
_atom_site_fract_z
Hf1 Hf 0.5000 0.5000 0.5000
Ho1 Ho 0.0000 0.0000 0.7600
Ho2 Ho 0.0000 0.0000 0.2400
Te1 Te 0.5000 0.5000 0.0000
```

* M_tot: 0.00 μB/cell
* calculated density: 9.968 g cm⁻³
* E: -5.99 eV/atom
* relative energy among the computed polymorphs: 0.00 eV per formula unit

***

5.
# Ac2PrSi2

An optimized crystal structure of Ac2PrSi2 (PBE, the Alexandria database).

CIF file:
```
data_Ac2PrSi2
_cell_length_a 4.5302
_cell_length_b 6.4865
_cell_length_c 6.4855
_cell_angle_alpha 61.50
_cell_angle_beta 69.56
_cell_angle_gamma 69.56
_symmetry_space_group_name_H-M 'P 1'
_symmetry_Int_Tables_number 1
loop_
_symmetry_equiv_pos_as_xyz
'x,y,z'
loop_
_atom_site_label
_atom_site_type_symbol
_atom_site_fract_x
_atom_site_fract_y
_atom_site_fract_z
Si1 Si 0.0001 0.1872 0.3127
Si2 Si 0.9999 0.8128 0.6873
Ac1 Ac 0.7034 0.7966 0.2966
Pr1 Pr 0.5000 0.5000 0.0000
Ac2 Ac 0.2966 0.2034 0.7034
```

* M_tot: 0.00 μB/cell
* calculated density: 7.065 g cm⁻³
* E: -5.29 eV/atom
* relative energy among the computed polymorphs: 0.02 eV per formula unit

***

6.
# Cs3Sc2Te6Pb

An optimized crystal structure of Cs3Sc2Te6Pb (PBE, the Alexandria database).

CIF file:
```
data_Cs3Sc2Te6Pb
_cell_length_a 7.7484
_cell_length_b 7.7484
_cell_length_c 9.2857
_cell_angle_alpha 97.99
_cell_angle_beta 97.99
_cell_angle_gamma 120.15
_symmetry_space_group_name_H-M 'P 1'
_symmetry_Int_Tables_number 1
loop_
_symmetry_equiv_pos_as_xyz
'x,y,z'
loop_
_atom_site_label
_atom_site_type_symbol
_atom_site_fract_x
_atom_site_fract_y
_atom_site_fract_z
Te1 Te 0.9372 0.5779 0.8136
Te2 Te 0.2989 0.2989 0.8176
Cs1 Cs 0.5000 0.5000 0.5000
Pb1 Pb 0.0000 0.0000 0.0000
Te3 Te 0.0628 0.4221 0.1864
Te4 Te 0.7011 0.7011 0.1824
Cs2 Cs 0.8417 0.1583 0.5000
Te5 Te 0.4221 0.0628 0.1864
Sc1 Sc 0.6679 0.3321 0.0000
Sc2 Sc 0.3321 0.6679 0.0000
Te6 Te 0.5779 0.9372 0.8136
Cs3 Cs 0.1583 0.8417 0.5000
```

* M_tot: 0.00 μB/cell
* calculated density: 5.242 g cm⁻³
* E: -4.14 eV/atom

***

7.
# HfV6Fe2

An optimized crystal structure of HfV6Fe2 (PBE, the Alexandria database).

CIF file:
```
data_HfV6Fe2
_cell_length_a 4.0132
_cell_length_b 4.0132
_cell_length_c 7.8872
_cell_angle_alpha 90.00
_cell_angle_beta 90.00
_cell_angle_gamma 90.00
_symmetry_space_group_name_H-M 'P 1'
_symmetry_Int_Tables_number 1
loop_
_symmetry_equiv_pos_as_xyz
'x,y,z'
loop_
_atom_site_label
_atom_site_type_symbol
_atom_site_fract_x
_atom_site_fract_y
_atom_site_fract_z
Fe1 Fe 0.5000 0.5000 0.8625
V1 V 0.5000 0.0000 0.2946
V2 V 0.0000 0.5000 0.7054
V3 V 0.0000 0.5000 0.2946
V4 V 0.0000 0.0000 0.5000
V5 V 0.5000 0.5000 0.5000
V6 V 0.5000 0.0000 0.7054
Hf1 Hf 0.0000 0.0000 0.0000
Fe2 Fe 0.5000 0.5000 0.1375
```

* M_tot: 0.00 μB/cell
* calculated density: 7.789 g cm⁻³
* E: -9.08 eV/atom
* energy relative to the elements: -0.0190 eV/atom

***

8.
# Tb3PmSm4

An optimized crystal structure of Tb3PmSm4 (PBE, the Alexandria database).

CIF file:
```
data_Tb3PmSm4
_cell_length_a 6.3332
_cell_length_b 7.3281
_cell_length_c 11.5676
_cell_angle_alpha 90.00
_cell_angle_beta 90.00
_cell_angle_gamma 90.00
_symmetry_space_group_name_H-M 'P 1'
_symmetry_Int_Tables_number 1
loop_
_symmetry_equiv_pos_as_xyz
'x,y,z'
loop_
_atom_site_label
_atom_site_type_symbol
_atom_site_fract_x
_atom_site_fract_y
_atom_site_fract_z
Sm1 Sm 0.4811 0.8744 0.2485
Tb1 Tb 0.6479 0.6234 0.0000
Pm1 Pm 0.6481 0.6246 0.5000
Tb2 Tb 0.9806 0.6238 0.2500
Tb3 Tb 0.9806 0.6238 0.7500
Tb4 Tb 0.4806 0.3762 0.7500
Sm2 Sm 0.9811 0.1256 0.7485
Sm3 Sm 0.1492 0.8738 0.5000
Sm4 Sm 0.9811 0.1256 0.2515
Sm5 Sm 0.6466 0.1266 0.5000
Tb5 Tb 0.1479 0.3766 0.5000
Sm6 Sm 0.4811 0.8744 0.7515
Tb6 Tb 0.4806 0.3762 0.2500
Pm2 Pm 0.1481 0.3754 0.0000
Sm7 Sm 0.1466 0.8734 0.0000
Sm8 Sm 0.6492 0.1262 0.0000
```

* M_tot: 0.00 μB/cell
* calculated density: 7.567 g cm⁻³
* E: -4.66 eV/atom
* relative energy among the computed polymorphs: 0.09 eV per formula unit
* energy relative to the elements: 0.0253 eV/atom

***

9.
# Pr2Tm3Ir2

An optimized crystal structure of Pr2Tm3Ir2 (PBE, the Alexandria database).

CIF file:
```
data_Pr2Tm3Ir2
_cell_length_a 3.8145
_cell_length_b 6.4285
_cell_length_c 8.4832
_cell_angle_alpha 73.16
_cell_angle_beta 77.01
_cell_angle_gamma 72.74
_symmetry_space_group_name_H-M 'P 1'
_symmetry_Int_Tables_number 1
loop_
_symmetry_equiv_pos_as_xyz
'x,y,z'
loop_
_atom_site_label
_atom_site_type_symbol
_atom_site_fract_x
_atom_site_fract_y
_atom_site_fract_z
Tm1 Tm 0.3782 0.8121 0.4316
Ir1 Ir 0.8311 0.0961 0.2417
Tm2 Tm 0.6218 0.1879 0.5684
Ir2 Ir 0.1689 0.9039 0.7583
Tm3 Tm 0.5000 0.0000 0.0000
Pr1 Pr 0.8357 0.5238 0.8048
Pr2 Pr 0.1643 0.4762 0.1952
```

* M_tot: 0.00 μB/cell
* calculated density: 10.365 g cm⁻³
* E: -6.42 eV/atom
* energy relative to the elements: -0.6097 eV/atom

***

10.
# Zr3CoSn2

An optimized crystal structure of Zr3CoSn2 (PBE, the Alexandria database).

CIF file:
```
data_Zr3CoSn2
_cell_length_a 4.0290
_cell_length_b 10.9435
_cell_length_c 11.6499
_cell_angle_alpha 90.00
_cell_angle_beta 90.00
_cell_angle_gamma 90.00
_symmetry_space_group_name_H-M 'P 1'
_symmetry_Int_Tables_number 1
loop_
_symmetry_equiv_pos_as_xyz
'x,y,z'
loop_
_atom_site_label
_atom_site_type_symbol
_atom_site_fract_x
_atom_site_fract_y
_atom_site_fract_z
Sn1 Sn 0.7500 0.1992 0.9939
Zr1 Zr 0.7500 0.8806 0.4431
Sn2 Sn 0.2500 0.0088 0.3077
Co1 Co 0.7500 0.8567 0.8768
Zr2 Zr 0.2500 0.3806 0.0569
Zr3 Zr 0.7500 0.2829 0.7529
Zr4 Zr 0.7500 0.9565 0.1179
Sn3 Sn 0.7500 0.5088 0.1923
Zr5 Zr 0.2500 0.7171 0.2471
Co2 Co 0.2500 0.1433 0.1232
Zr6 Zr 0.2500 0.1194 0.5569
Sn4 Sn 0.2500 0.8008 0.0061
Sn5 Sn 0.2500 0.6992 0.5061
Zr7 Zr 0.2500 0.4565 0.3821
Zr8 Zr 0.7500 0.5435 0.6179
Sn6 Sn 0.7500 0.9912 0.6923
Zr9 Zr 0.7500 0.2171 0.2529
Sn7 Sn 0.2500 0.4912 0.8077
Co3 Co 0.2500 0.3567 0.6232
Zr10 Zr 0.2500 0.7829 0.7471
Zr11 Zr 0.7500 0.6194 0.9431
Zr12 Zr 0.2500 0.0435 0.8821
Co4 Co 0.7500 0.6433 0.3768
Sn8 Sn 0.7500 0.3008 0.4939
```

* M_tot: 0.00 μB/cell
* calculated density: 7.371 g cm⁻³
* E: -7.22 eV/atom
* energy relative to the elements: -0.4240 eV/atom

***

11.
# TbTlPd2

An optimized crystal structure of TbTlPd2 (PBE, the Alexandria database).

CIF file:
```
data_TbTlPd2
_cell_length_a 4.8539
_cell_length_b 4.8539
_cell_length_c 4.8539
_cell_angle_alpha 60.00
_cell_angle_beta 60.00
_cell_angle_gamma 60.00
_symmetry_space_group_name_H-M 'P 1'
_symmetry_Int_Tables_number 1
loop_
_symmetry_equiv_pos_as_xyz
'x,y,z'
loop_
_atom_site_label
_atom_site_type_symbol
_atom_site_fract_x
_atom_site_fract_y
_atom_site_fract_z
Pd1 Pd 0.2500 0.2500 0.2500
Tl1 Tl 0.5000 0.5000 0.5000
Pd2 Pd 0.7500 0.7500 0.7500
Tb1 Tb 0.0000 0.0000 0.0000
```

* M_tot: 0.00 μB/cell
* calculated density: 11.831 g cm⁻³
* E: -4.99 eV/atom
* energy relative to the elements: -0.6408 eV/atom

***

12.
# LaCuAgSe2

An optimized crystal structure of LaCuAgSe2 (PBE, the Alexandria database).

CIF file:
```
data_LaCuAgSe2
_cell_length_a 5.1591
_cell_length_b 4.6473
_cell_length_c 5.1591
_cell_angle_alpha 90.00
_cell_angle_beta 90.00
_cell_angle_gamma 90.00
_symmetry_space_group_name_H-M 'P 1'
_symmetry_Int_Tables_number 1
loop_
_symmetry_equiv_pos_as_xyz
'x,y,z'
loop_
_atom_site_label
_atom_site_type_symbol
_atom_site_fract_x
_atom_site_fract_y
_atom_site_fract_z
Se1 Se 0.5000 0.0000 0.0000
Se2 Se 0.0000 0.0000 0.5000
Ag1 Ag 0.0000 0.0000 0.0000
La1 La 0.5000 0.5000 0.5000
Cu1 Cu 0.0000 0.5000 0.0000
```

* M_tot: 0.00 μB/cell
* calculated density: 6.286 g cm⁻³
* E: -4.15 eV/atom